No. 1
GdAgSnTe3 PBE optimized geometry; E_tot = -0.306 Ry per atom
1.0
11.2371 0.0000 0.0000
0.0000 4.3450 0.0000
0.0000 0.0000 14.6668
Ag Gd Sn Te
4 4 4 12
Direct
0.2393 0.7500 0.2248
0.7393 0.7500 0.2752
0.2607 0.2500 0.7248
0.7607 0.2500 0.7752
0.4827 0.2500 0.2439
0.9827 0.2500 0.2561
0.0173 0.7500 0.7439
0.5173 0.7500 0.7561
0.2228 0.2500 0.0167
0.7228 0.2500 0.4833
0.2772 0.7500 0.5167
0.7772 0.7500 0.9833
0.4240 0.7500 0.0988
0.0406 0.7500 0.1058
0.7364 0.2500 0.1514
0.2364 0.2500 0.3486
0.5406 0.7500 0.3942
0.9240 0.7500 0.4012
0.0760 0.2500 0.5988
0.4594 0.2500 0.6058
0.7636 0.7500 0.6514
0.2636 0.7500 0.8486
0.9594 0.2500 0.8942
0.5760 0.2500 0.9012


No. 2
Gd2CdO4 PBE optimized geometry; E_tot = -0.517 Ry per atom
1.0
-6.0485 0.4831 -3.0971
5.5470 2.6592 -2.9275
-0.7366 -6.7615 0.3873
Cd Gd O
2 4 8
Direct
0.0000 0.0000 0.0000
0.7500 0.5000 0.2500
0.3750 0.7500 0.1250
0.3750 0.2500 0.6250
0.8750 0.2500 0.6250
0.3750 0.7500 0.6250
0.1594 0.7730 0.3864
0.6135 0.2270 0.3864
0.6136 0.7730 0.3865
0.1364 0.2730 0.4094
0.6136 0.2270 0.8406
0.1364 0.7270 0.8635
0.1365 0.2730 0.8636
0.5906 0.7270 0.8636


No. 3
Li2Mg2ZnInAu2 PBE optimized geometry; E_tot = -0.193 Ry per atom
1.0
-2.0398 2.9342 -2.8648
-3.6880 0.0865 2.7145
2.5656 5.0303 3.3253
Au In Li Mg Zn
2 1 2 2 1
Direct
0.0000 0.5000 0.2654
0.5000 0.0000 0.7346
0.0000 0.0000 0.0000
0.5000 0.0000 0.2694
0.0000 0.5000 0.7306
0.5000 0.5000 0.0000
0.0000 0.0000 0.5000
0.5000 0.5000 0.5000


No. 4
CsBaRe PBE optimized geometry; E_tot = -0.223 Ry per atom
1.0
0.0000 3.8992 3.8992
3.8992 0.0000 3.8992
3.8992 3.8992 0.0000
Ba Cs Re
1 1 1
Direct
0.2500 0.2500 0.2500
0.0000 0.0000 0.0000
0.7500 0.7500 0.7500